DFT (GGA-PBE) results for crystalline AlTlMo2 at its relaxed geometry.

As for the total magnetic moment: 0.000 μB/cell. The energy relative to the elements is 0.393 eV/atom. The density of states at the Fermi level comes out at 2.96 states/eV per cell. Its energy relative to the lowest polymorph listed for this composition is 177.4 meV/atom.

It has space group P2/m (No. 10), with a = 2.876 Å, b = 4.454 Å, c = 5.675 Å, α = 90.00°, β = 100.15° and γ = 90.00°. The asymmetric unit holds Al at (0.000, 0.000, 0.000), Tl at (0.500, 0.000, 0.500) and Mo at (0.296, 0.500, 0.789).

DFT (GGA-PBE) results for crystalline AlTlMo2 at its relaxed geometry.

As for the total magnetic moment: 0.000 μB/cell. The energy relative to the elements is 0.525 eV/atom. The density of states at the Fermi level comes out at 7.48 states/eV per cell. Its energy relative to the lowest polymorph listed for this composition is 309.8 meV/atom.

It has space group I4/mmm (No. 139), with a = 3.971 Å, b = 3.971 Å, c = 8.793 Å, α = 90.00°, β = 90.00° and γ = 90.00°. The asymmetric unit holds Al at (0.000, 0.000, 0.000), Tl at (0.000, 0.000, 0.500) and Mo at (0.000, 0.500, 0.250).